Crystalline LaZnFeCuO6 at its relaxed geometry, computed with PBE+U.

a b c (Å): 5.175 5.397 9.536
angles (deg): 90.00 119.86 90.00
Fractional coordinates of all 20 atoms:
La1 0.000 0.213 0.000
La2 0.000 0.787 0.500
Zn1 0.426 0.290 0.487
Zn2 0.426 0.710 0.987
Fe1 0.719 0.256 0.247
Fe2 0.719 0.744 0.747
Cu1 0.241 0.250 0.751
Cu2 0.241 0.750 0.251
O1 0.050 0.487 0.816
O2 0.050 0.513 0.316
O3 0.085 0.035 0.303
O4 0.085 0.965 0.803
O5 0.392 0.495 0.676
O6 0.392 0.505 0.176
O7 0.442 0.045 0.674
O8 0.442 0.955 0.174
O9 0.584 0.280 0.026
O10 0.584 0.720 0.526
O11 0.782 0.234 0.458
O12 0.782 0.766 0.958

Mass density   6.03 g cm⁻³
Density of states at the Fermi level   3.51 states/eV/cell
Electronic total energy   -6.093 eV/atom